1.
VASP calculation (PBE-GGA) on a relaxed BaZrBeN3 crystal.

Summary:
As for the theoretical density: 5.26 Mg/m³. Its uncorrected formation energy is -905 meV per atom. The value obtained for the density of states at the Fermi level is 0.68 states/eV/atom. The magnetic moment comes out at 0.06 μB/cell.

abc: 7.424 3.339 7.518
angles: 90.00 108.53 90.00
Element x y z (fractional)
Ba (0.241, 0.250, 0.201)
Ba (0.759, 0.750, 0.799)
Zr (0.161, 0.250, 0.665)
Zr (0.839, 0.750, 0.335)
Be (0.399, 0.750, 0.924)
Be (0.601, 0.250, 0.076)
N (0.154, 0.750, 0.465)
N (0.154, 0.750, 0.864)
N (0.461, 0.250, 0.847)
N (0.539, 0.750, 0.153)
N (0.846, 0.250, 0.136)
N (0.846, 0.250, 0.535)

***

2.
VASP calculation (PBE-GGA) on a relaxed BaNa3Be crystal.

Summary:
As for the theoretical density: 0.87 Mg/m³. Its formation enthalpy at 0 K is 6.27 eV/f.u. The value obtained for the density of states at the Fermi level is 0.88 states/eV/atom. The magnetic moment comes out at 1.00 μB/cell. As for the distance to the lowest polymorph of the same formula: 80.0 kJ/mol of atoms.

abc: 7.436 7.436 7.436
angles: 90.00 90.00 90.00
Element x y z (fractional)
Ba (0.000, 0.000, 0.000)
Na (0.000, 0.000, 0.500)
Na (0.000, 0.500, 0.000)
Na (0.500, 0.000, 0.000)
Be (0.500, 0.500, 0.500)

***

3.
VASP calculation (PBE-GGA) on a relaxed Ba4NaBe2 crystal.

Summary:
As for the theoretical density: 2.80 Mg/m³. Its formation enthalpy at 0 K is 3.95 eV/f.u. The value obtained for the density of states at the Fermi level is 1.26 states/eV/atom. The magnetic moment comes out at 0.00 μB/cell.

abc: 9.141 9.141 9.141
angles: 137.11 137.11 62.28
Element x y z (fractional)
Ba (0.000, 0.500, 0.500)
Ba (0.233, 0.233, 0.000)
Ba (0.500, 0.000, 0.500)
Ba (0.767, 0.767, 0.000)
Na (0.000, 0.000, 0.000)
Be (0.435, 0.435, 0.000)
Be (0.565, 0.565, 0.000)

***

4.
VASP calculation (PBE-GGA) on a relaxed BaNa3Be crystal.

Summary:
As for the theoretical density: 1.99 Mg/m³. Its formation enthalpy at 0 K is 2.13 eV/f.u. The value obtained for the density of states at the Fermi level is 0.79 states/eV/atom. The magnetic moment comes out at 0.00 μB/cell. As for the distance to the lowest polymorph of the same formula: 0.0 kJ/mol of atoms.

abc: 5.641 5.641 5.641
angles: 90.00 90.00 90.00
Element x y z (fractional)
Ba (0.000, 0.000, 0.000)
Na (0.000, 0.500, 0.500)
Na (0.500, 0.000, 0.500)
Na (0.500, 0.500, 0.000)
Be (0.500, 0.500, 0.500)

***

5.
VASP calculation (PBE-GGA) on a relaxed BaNaBeO2 crystal.

Summary:
As for the theoretical density: 2.76 Mg/m³. Its uncorrected formation energy is -1770 meV per atom. The value obtained for the density of states at the Fermi level is 0.26 states/eV/atom. The magnetic moment comes out at 0.76 μB/cell.

abc: 7.470 5.310 6.769
angles: 90.00 115.65 90.00
Element x y z (fractional)
Ba (0.000, 0.236, 0.250)
Ba (0.000, 0.764, 0.750)
Na (0.500, 0.499, 0.750)
Na (0.500, 0.501, 0.250)
Be (0.500, 0.000, 0.000)
Be (0.500, 0.000, 0.500)
O (0.376, 0.222, 0.440)
O (0.376, 0.778, 0.940)
O (0.624, 0.222, 0.060)
O (0.624, 0.778, 0.560)

***

6.
VASP calculation (PBE-GGA) on a relaxed BaNaBePt2 crystal.

Summary:
As for the theoretical density: 9.00 Mg/m³. Its formation enthalpy at 0 K is -1.61 eV/f.u. The value obtained for the density of states at the Fermi level is 0.68 states/eV/atom. The magnetic moment comes out at 0.00 μB/cell.

abc: 4.579 4.579 4.921
angles: 90.00 90.00 90.00
Element x y z (fractional)
Ba (0.000, 0.000, 0.000)
Na (0.500, 0.500, 0.000)
Be (0.500, 0.500, 0.500)
Pt (0.000, 0.500, 0.500)
Pt (0.500, 0.000, 0.500)

***

7.
VASP calculation (PBE-GGA) on a relaxed BaNaBeRh2 crystal.

Summary:
As for the theoretical density: 5.70 Mg/m³. Its formation enthalpy at 0 K is 4.81 eV/f.u. The value obtained for the density of states at the Fermi level is 0.75 states/eV/atom. The magnetic moment comes out at 0.00 μB/cell.

abc: 4.909 4.909 4.536
angles: 90.00 90.00 90.00
Element x y z (fractional)
Ba (0.000, 0.000, 0.000)
Na (0.500, 0.500, 0.500)
Be (0.500, 0.500, 0.000)
Rh (0.000, 0.500, 0.500)
Rh (0.500, 0.000, 0.500)

***

8.
VASP calculation (PBE-GGA) on a relaxed BaNaBeS2 crystal.

Summary:
As for the theoretical density: 3.02 Mg/m³. Its uncorrected formation energy is -990 meV per atom. The value obtained for the density of states at the Fermi level is 0.58 states/eV/atom. The magnetic moment comes out at 0.01 μB/cell.

abc: 6.800 4.925 7.899
angles: 90.00 104.08 90.00
Element x y z (fractional)
Ba (0.000, 0.242, 0.250)
Ba (0.000, 0.758, 0.750)
Na (0.500, 0.482, 0.750)
Na (0.500, 0.518, 0.250)
Be (0.500, 0.000, 0.000)
Be (0.500, 0.000, 0.500)
S (0.270, 0.241, 0.955)
S (0.270, 0.759, 0.455)
S (0.730, 0.241, 0.545)
S (0.730, 0.759, 0.045)

***

9.
VASP calculation (PBE-GGA) on a relaxed BaNa2Be2S4 crystal.

Summary:
As for the theoretical density: 2.60 Mg/m³. Its uncorrected formation energy is -1197 meV per atom. The value obtained for the density of states at the Fermi level is 0.00 states/eV/atom. The magnetic moment comes out at 0.00 μB/cell.

abc: 7.682 7.682 8.555
angles: 118.42 118.42 28.62
Element x y z (fractional)
Ba (0.000, 0.000, 0.000)
Na (0.109, 0.109, 0.628)
Na (0.891, 0.891, 0.372)
Be (0.327, 0.327, 0.605)
Be (0.673, 0.673, 0.395)
S (0.229, 0.229, 0.321)
S (0.483, 0.483, 0.701)
S (0.517, 0.517, 0.299)
S (0.771, 0.771, 0.679)

***

10.
VASP calculation (PBE-GGA) on a relaxed BaNaBeSn2 crystal.

Summary:
As for the theoretical density: 3.86 Mg/m³. Its formation enthalpy at 0 K is 3.93 eV/f.u. The value obtained for the density of states at the Fermi level is 0.77 states/eV/atom. The magnetic moment comes out at 0.00 μB/cell.

abc: 5.422 5.422 5.956
angles: 90.00 90.00 90.00
Element x y z (fractional)
Ba (0.000, 0.000, 0.000)
Na (0.000, 0.000, 0.500)
Be (0.500, 0.500, 0.000)
Sn (0.000, 0.500, 0.500)
Sn (0.500, 0.000, 0.500)

***

11.
VASP calculation (PBE-GGA) on a relaxed Ba2NaSrBe crystal.

Summary:
As for the theoretical density: 2.87 Mg/m³. Its formation enthalpy at 0 K is 3.00 eV/f.u. The value obtained for the density of states at the Fermi level is 1.06 states/eV/atom. The magnetic moment comes out at 0.00 μB/cell. As for the distance to the lowest polymorph of the same formula: 0.0 kJ/mol of atoms.

abc: 6.728 6.728 5.044
angles: 90.00 90.00 90.00
Element x y z (fractional)
Ba (0.000, 0.500, 0.000)
Ba (0.500, 0.000, 0.000)
Na (0.000, 0.000, 0.000)
Sr (0.500, 0.500, 0.500)
Be (0.000, 0.000, 0.500)

***

12.
VASP calculation (PBE-GGA) on a relaxed Ba2NaSrBe crystal.

Summary:
As for the theoretical density: 2.42 Mg/m³. Its formation enthalpy at 0 K is 4.22 eV/f.u. The value obtained for the density of states at the Fermi level is 1.27 states/eV/atom. The magnetic moment comes out at 1.02 μB/cell. As for the distance to the lowest polymorph of the same formula: 23.4 kJ/mol of atoms.

abc: 7.100 7.100 5.366
angles: 90.00 90.00 90.00
Element x y z (fractional)
Ba (0.000, 0.500, 0.000)
Ba (0.500, 0.000, 0.000)
Na (0.000, 0.000, 0.500)
Sr (0.500, 0.500, 0.000)
Be (0.500, 0.500, 0.500)